Crystalline Sm2CuHRh6 at its relaxed geometry, computed with PBE.

## Properties
ρ in kg/m³: 10055
DOS at the Fermi energy in states/eV per atom: 1.150
E in eV/atom: -6.43

The structure in POSCAR format:
```
Sm2CuHRh6
1.0
4.838 -2.787 0.000
4.838 2.787 0.000
-3.214 0.000 6.017
Sm Cu H Rh
2 1 1 6
direct
0.217 0.217 0.152
0.783 0.783 0.848
0.500 0.500 0.000
0.000 0.000 0.500
0.231 0.231 0.672
0.231 0.715 0.675
0.285 0.769 0.325
0.715 0.231 0.675
0.769 0.285 0.325
0.769 0.769 0.328
```

---

Crystalline CuSnHRh2 at its relaxed geometry, computed with PBE.

## Properties
ρ in kg/m³: 10297
DOS at the Fermi energy in states/eV per atom: 0.162
E in eV/atom: -5.50

The structure in POSCAR format:
```
CuSnHRh2
1.0
4.105 0.000 0.000
0.000 4.105 0.000
0.000 0.000 3.724
Cu Sn H Rh
1 1 1 2
direct
0.000 0.000 0.000
0.500 0.500 0.000
0.000 0.000 0.500
0.000 0.500 0.500
0.500 0.000 0.500
```

---

Crystalline SrCu2H8Rh at its relaxed geometry, computed with PBE.

## Properties
ρ in kg/m³: 4875
DOS at the Fermi energy in states/eV per atom: 0.124
E in eV/atom: -3.75

The structure in POSCAR format:
```
SrCu2H8Rh
1.0
4.537 0.000 0.000
-1.115 4.435 0.000
-0.992 -2.137 5.514
Sr Cu H Rh
1 2 8 1
direct
0.000 0.000 0.000
0.447 0.325 0.762
0.553 0.675 0.238
0.153 0.589 0.276
0.245 0.275 0.489
0.269 0.889 0.664
0.436 0.699 0.980
0.564 0.301 0.020
0.731 0.111 0.336
0.755 0.725 0.511
0.847 0.411 0.724
0.000 0.500 0.500
```

---

Crystalline SrCu2H8Rh3 at its relaxed geometry, computed with PBE.

## Properties
ρ in kg/m³: 6706
DOS at the Fermi energy in states/eV per atom: 0.228
E in eV/atom: -4.32

The structure in POSCAR format:
```
SrCu2H8Rh3
1.0
2.893 1.670 4.540
-2.893 1.670 4.540
0.000 -3.340 4.540
Sr Cu H Rh
1 2 8 3
direct
0.000 0.000 0.000
0.383 0.383 0.383
0.750 0.750 0.750
0.157 0.157 0.520
0.157 0.520 0.157
0.161 0.633 0.633
0.164 0.164 0.164
0.520 0.157 0.157
0.621 0.621 0.621
0.633 0.161 0.633
0.633 0.633 0.161
0.381 0.381 0.873
0.381 0.873 0.381
0.873 0.381 0.381
```

---

Crystalline TaCuHRh2 at its relaxed geometry, computed with PBE.

## Properties
ρ in kg/m³: 12406
DOS at the Fermi energy in states/eV per atom: 0.768
ΔE to the lowest computed polymorph in eV/atom: 0.000

The structure in POSCAR format:
```
TaCuHRh2
1.0
4.039 0.000 0.000
0.000 4.039 0.000
0.000 0.000 3.703
Ta Cu H Rh
1 1 1 2
direct
0.000 0.000 0.000
0.500 0.500 0.000
0.500 0.500 0.500
0.000 0.500 0.500
0.500 0.000 0.500
```

---

Crystalline Ta2CuHRh at its relaxed geometry, computed with PBE.

## Properties
ρ in kg/m³: 13544
DOS at the Fermi energy in states/eV per atom: 0.630
ΔE to the lowest computed polymorph in eV/atom: 0.024

The structure in POSCAR format:
```
Ta2CuHRh
1.0
4.058 0.000 0.000
0.000 4.058 0.000
0.000 0.000 3.941
Ta Cu H Rh
2 1 1 1
direct
0.000 0.500 0.000
0.500 0.000 0.000
0.000 0.000 0.500
0.500 0.500 0.000
0.500 0.500 0.500
```

---

Crystalline Ta2CuHRh at its relaxed geometry, computed with PBE.

## Properties
ρ in kg/m³: 13630
DOS at the Fermi energy in states/eV per atom: 0.701
ΔE to the lowest computed polymorph in eV/atom: 0.000

The structure in POSCAR format:
```
Ta2CuHRh
1.0
4.038 0.000 0.000
0.000 4.038 0.000
0.000 0.000 3.956
Ta Cu H Rh
2 1 1 1
direct
0.000 0.500 0.000
0.500 0.000 0.000
0.000 0.000 0.500
0.000 0.000 0.000
0.500 0.500 0.500
```

---

Crystalline TaCuHRh2 at its relaxed geometry, computed with PBE.

## Properties
ρ in kg/m³: 12283
DOS at the Fermi energy in states/eV per atom: 0.496
ΔE to the lowest computed polymorph in eV/atom: 0.026

The structure in POSCAR format:
```
TaCuHRh2
1.0
3.954 0.000 0.000
0.000 3.954 0.000
0.000 0.000 3.902
Ta Cu H Rh
1 1 1 2
direct
0.000 0.000 0.000
0.500 0.500 0.000
0.000 0.000 0.500
0.000 0.500 0.500
0.500 0.000 0.500
```

---

Crystalline TbCuH8Rh2 at its relaxed geometry, computed with PBE.

## Properties
ρ in kg/m³: 7139
DOS at the Fermi energy in states/eV per atom: 0.132
E in eV/atom: -4.37

The structure in POSCAR format:
```
TbCuH8Rh2
1.0
2.352 1.358 5.298
-2.352 1.358 5.298
0.000 -2.715 5.298
Tb Cu H Rh
1 1 8 2
direct
0.000 0.000 0.000
0.500 0.500 0.500
0.128 0.820 0.404
0.180 0.596 0.872
0.313 0.313 0.313
0.404 0.128 0.820
0.596 0.872 0.180
0.687 0.687 0.687
0.820 0.404 0.128
0.872 0.180 0.596
0.208 0.208 0.208
0.792 0.792 0.792
```

---

Crystalline Tb2CuHRh6 at its relaxed geometry, computed with PBE.

## Properties
ρ in kg/m³: 10409
DOS at the Fermi energy in states/eV per atom: 1.506
E in eV/atom: -6.35

The structure in POSCAR format:
```
Tb2CuHRh6
1.0
0.000 4.304 4.304
4.304 0.000 4.304
4.304 4.304 0.000
Tb Cu H Rh
2 1 1 6
direct
0.250 0.250 0.250
0.750 0.750 0.750
0.000 0.000 0.000
0.500 0.500 0.500
0.276 0.276 0.724
0.276 0.724 0.276
0.276 0.724 0.724
0.724 0.276 0.276
0.724 0.276 0.724
0.724 0.724 0.276
```

---

Crystalline TbCuH8Rh4 at its relaxed geometry, computed with PBE.

## Properties
ρ in kg/m³: 8499
DOS at the Fermi energy in states/eV per atom: 0.281
E in eV/atom: -4.83

The structure in POSCAR format:
```
TbCuH8Rh4
1.0
2.863 1.653 4.418
-2.863 1.653 4.418
0.000 -3.306 4.418
Tb Cu H Rh
1 1 8 4
direct
0.000 0.000 0.000
0.604 0.604 0.604
0.322 0.322 0.866
0.322 0.866 0.322
0.376 0.376 0.376
0.464 0.828 0.828
0.828 0.464 0.828
0.828 0.828 0.464
0.835 0.835 0.835
0.866 0.322 0.322
0.113 0.610 0.610
0.243 0.243 0.243
0.610 0.113 0.610
0.610 0.610 0.113
```

---

Crystalline TbCu2H8Rh3 at its relaxed geometry, computed with PBE.

## Properties
ρ in kg/m³: 7949
DOS at the Fermi energy in states/eV per atom: 0.165
E in eV/atom: -4.56

The structure in POSCAR format:
```
TbCu2H8Rh3
1.0
2.878 1.661 4.390
-2.878 1.661 4.390
0.000 -3.323 4.390
Tb Cu H Rh
1 2 8 3
direct
0.000 0.000 0.000
0.247 0.247 0.247
0.614 0.614 0.614
0.365 0.365 0.841
0.365 0.841 0.365
0.379 0.379 0.379
0.463 0.842 0.842
0.836 0.836 0.836
0.841 0.365 0.365
0.842 0.463 0.842
0.842 0.842 0.463
0.124 0.616 0.616
0.616 0.124 0.616
0.616 0.616 0.124
```

---

Crystalline CuTcHRh2 at its relaxed geometry, computed with PBE.

## Properties
ρ in kg/m³: 10415
DOS at the Fermi energy in states/eV per atom: 0.676
ΔE to the lowest computed polymorph in eV/atom: 0.012

The structure in POSCAR format:
```
CuTcHRh2
1.0
3.939 0.000 0.000
0.000 3.939 0.000
0.000 0.000 3.785
Cu Tc H Rh
1 1 1 2
direct
0.000 0.000 0.000
0.500 0.500 0.000
0.000 0.000 0.500
0.000 0.500 0.500
0.500 0.000 0.500
```

---

Crystalline Cu2TcHRh at its relaxed geometry, computed with PBE.

## Properties
ρ in kg/m³: 5336
DOS at the Fermi energy in states/eV per atom: 0.660
ΔE to the lowest computed polymorph in eV/atom: 1.421

The structure in POSCAR format:
```
Cu2TcHRh
1.0
4.713 0.000 0.000
0.000 4.713 0.000
0.000 0.000 4.610
Cu Tc H Rh
2 1 1 1
direct
0.000 0.500 0.000
0.500 0.000 0.000
0.000 0.000 0.500
0.500 0.500 0.500
0.000 0.000 0.000
```

---

Crystalline Cu2TcHRh at its relaxed geometry, computed with PBE.

## Properties
ρ in kg/m³: 9710
DOS at the Fermi energy in states/eV per atom: 1.095
ΔE to the lowest computed polymorph in eV/atom: 0.000

The structure in POSCAR format:
```
Cu2TcHRh
1.0
3.847 0.000 0.000
0.000 3.847 0.000
0.000 0.000 3.802
Cu Tc H Rh
2 1 1 1
direct
0.000 0.500 0.000
0.500 0.000 0.000
0.000 0.000 0.500
0.000 0.000 0.000
0.500 0.500 0.500
```

---

Crystalline CuTcHRh2 at its relaxed geometry, computed with PBE.

## Properties
ρ in kg/m³: 10434
DOS at the Fermi energy in states/eV per atom: 1.228
ΔE to the lowest computed polymorph in eV/atom: 0.000

The structure in POSCAR format:
```
CuTcHRh2
1.0
3.897 0.000 0.000
0.000 3.897 0.000
0.000 0.000 3.861
Cu Tc H Rh
1 1 1 2
direct
0.000 0.000 0.000
0.500 0.500 0.000
0.500 0.500 0.500
0.000 0.500 0.500
0.500 0.000 0.500
```

---

Crystalline CuTeHRh2 at its relaxed geometry, computed with PBE.

## Properties
ρ in kg/m³: 10147
DOS at the Fermi energy in states/eV per atom: 0.575
E in eV/atom: -5.06

The structure in POSCAR format:
```
CuTeHRh2
1.0
4.111 0.000 0.000
0.000 4.111 0.000
0.000 0.000 3.853
Cu Te H Rh
1 1 1 2
direct
0.000 0.000 0.000
0.500 0.500 0.000
0.000 0.000 0.500
0.000 0.500 0.500
0.500 0.000 0.500
```

---

Crystalline ThCuH6Rh at its relaxed geometry, computed with PBE.

## Properties
ρ in kg/m³: 8490
DOS at the Fermi energy in states/eV per atom: 0.275
E in eV/atom: -4.63

The structure in POSCAR format:
```
ThCuH6Rh
1.0
4.585 0.000 0.000
-2.293 3.971 0.000
0.000 0.000 4.345
Th Cu H Rh
1 1 6 1
direct
0.000 0.000 0.000
0.333 0.667 0.500
0.500 0.001 0.234
0.500 0.001 0.766
0.500 0.500 0.234
0.500 0.500 0.766
0.999 0.500 0.234
0.999 0.500 0.766
0.667 0.333 0.500
```

---

Crystalline Th4CuH3Rh12 at its relaxed geometry, computed with PBE.

## Properties
ρ in kg/m³: 11996
DOS at the Fermi energy in states/eV per atom: 1.046
E in eV/atom: -7.20

The structure in POSCAR format:
```
Th4CuH3Rh12
1.0
-4.257 4.257 4.257
4.257 -4.257 4.257
4.257 4.257 -4.257
Th Cu H Rh
4 1 3 12
direct
0.000 0.000 0.500
0.000 0.500 0.000
0.500 0.000 0.000
0.500 0.500 0.500
0.000 0.000 0.000
0.000 0.500 0.500
0.500 0.000 0.500
0.500 0.500 0.000
0.000 0.283 0.283
0.000 0.717 0.717
0.250 0.500 0.750
0.250 0.750 0.500
0.283 0.000 0.283
0.283 0.283 0.000
0.500 0.250 0.750
0.500 0.750 0.250
0.717 0.000 0.717
0.717 0.717 0.000
0.750 0.250 0.500
0.750 0.500 0.250
```

---

Crystalline Ti2CuHRh at its relaxed geometry, computed with PBE.

## Properties
ρ in kg/m³: 7150
DOS at the Fermi energy in states/eV per atom: 1.043
ΔE to the lowest computed polymorph in eV/atom: 0.029

The structure in POSCAR format:
```
Ti2CuHRh
1.0
4.000 0.000 0.000
0.000 4.000 0.000
0.000 0.000 3.819
Ti Cu H Rh
2 1 1 1
direct
0.000 0.500 0.000
0.500 0.000 0.000
0.000 0.000 0.500
0.500 0.500 0.000
0.500 0.500 0.500
```

---

Crystalline Ti2CuHRh at its relaxed geometry, computed with PBE.

## Properties
ρ in kg/m³: 7248
DOS at the Fermi energy in states/eV per atom: 1.021
ΔE to the lowest computed polymorph in eV/atom: 0.000

The structure in POSCAR format:
```
Ti2CuHRh
1.0
4.016 0.000 0.000
0.000 4.016 0.000
0.000 0.000 3.739
Ti Cu H Rh
2 1 1 1
direct
0.000 0.500 0.000
0.500 0.000 0.000
0.000 0.000 0.500
0.000 0.000 0.000
0.500 0.500 0.500
```

---

Crystalline TlCu2HRh at its relaxed geometry, computed with PBE.

## Properties
ρ in kg/m³: 11389
DOS at the Fermi energy in states/eV per atom: 0.460
E in eV/atom: -4.17

The structure in POSCAR format:
```
TlCu2HRh
1.0
4.100 0.000 0.000
0.000 4.100 0.000
0.000 0.000 3.776
Tl Cu H Rh
1 2 1 1
direct
0.000 0.000 0.000
0.000 0.500 0.500
0.500 0.000 0.500
0.500 0.500 0.500
0.500 0.500 0.000
```

---

Crystalline UCuH6Rh at its relaxed geometry, computed with PBE.

## Properties
ρ in kg/m³: 8943
DOS at the Fermi energy in states/eV per atom: 0.757
E in eV/atom: -4.88

The structure in POSCAR format:
```
UCuH6Rh
1.0
4.518 0.000 0.000
-2.259 3.913 0.000
0.000 0.000 4.312
U Cu H Rh
1 1 6 1
direct
0.000 0.000 0.000
0.333 0.667 0.500
0.501 0.002 0.227
0.501 0.002 0.773
0.501 0.499 0.227
0.501 0.499 0.773
0.998 0.499 0.227
0.998 0.499 0.773
0.667 0.333 0.500
```

---

Crystalline V2CuHRh at its relaxed geometry, computed with PBE.

## Properties
ρ in kg/m³: 8106
DOS at the Fermi energy in states/eV per atom: 0.751
ΔE to the lowest computed polymorph in eV/atom: 0.012

The structure in POSCAR format:
```
V2CuHRh
1.0
3.781 0.000 0.000
0.000 3.781 0.000
0.000 0.000 3.860
V Cu H Rh
2 1 1 1
direct
0.000 0.500 0.000
0.500 0.000 0.000
0.000 0.000 0.500
0.500 0.500 0.000
0.500 0.500 0.500
```

---

Crystalline V2CuHRh at its relaxed geometry, computed with PBE.

## Properties
ρ in kg/m³: 8183
DOS at the Fermi energy in states/eV per atom: 0.701
ΔE to the lowest computed polymorph in eV/atom: 0.000

The structure in POSCAR format:
```
V2CuHRh
1.0
3.768 0.000 0.000
0.000 3.768 0.000
0.000 0.000 3.850
V Cu H Rh
2 1 1 1
direct
0.000 0.500 0.000
0.500 0.000 0.000
0.000 0.000 0.500
0.000 0.000 0.000
0.500 0.500 0.500
```

---

| no. | total magnetization (μB/f.u.) |
| --- | --- |
| 1 | 0.0 |
| 2 | 0.0 |
| 3 | 0.0 |
| 4 | 0.0 |
| 5 | 0.0 |
| 6 | 0.0 |
| 7 | 0.0 |
| 8 | 0.0 |
| 9 | 0.0 |
| 10 | 0.0 |
| 11 | 0.0 |
| 12 | 0.0 |
| 13 | 2.6 |
| 14 | 1.9 |
| 15 | 1.8 |
| 16 | 1.4 |
| 17 | 0.0 |
| 18 | 0.0 |
| 19 | 0.0 |
| 20 | 0.5 |
| 21 | 0.4 |
| 22 | 0.0 |
| 23 | 2.6 |
| 24 | 0.0 |
| 25 | 0.0 |